No. 1
# Al2RhNCl

Al2RhNCl at its PBEsol-relaxed geometry (SCAN, Alexandria).

Geometry as POSCAR:
```
Al2RhNCl
1.0
4.903 0.000 0.000
0.000 4.903 0.000
0.000 0.000 3.683
Al Rh N Cl
2 1 1 1
Direct
0.000 0.500 0.000 Al
0.500 0.000 0.000 Al
0.000 0.000 0.000 Rh
0.000 0.000 0.500 N
0.500 0.500 0.500 Cl
```

Results
calculated total energy	-66.695	eV for the cell shown
formation energy from raw total energies	-0.151	eV per formula unit
Fermi-level density of states	1.8	states/eV/f.u.
size of the total moment	0.00	μB per formula unit

No. 2
# AlSNCl2

AlSNCl2 at its PBEsol-relaxed geometry (SCAN, Alexandria).

Geometry as POSCAR:
```
AlSNCl2
1.0
4.083 0.000 0.000
0.000 4.083 0.000
0.000 0.000 4.690
Al S N Cl
1 1 1 2
Direct
0.000 0.000 0.000 Al
0.500 0.500 0.000 S
0.500 0.500 0.500 N
0.000 0.500 0.500 Cl
0.500 0.000 0.500 Cl
```

Results
calculated total energy	-38.174	eV for the cell shown
formation energy from raw total energies	4.453	eV per formula unit
Fermi-level density of states	2.7	states/eV/f.u.
size of the total moment	0.00	μB per formula unit

No. 3
# AlSN2Cl

AlSN2Cl at its PBEsol-relaxed geometry (SCAN, Alexandria).

Geometry as POSCAR:
```
AlSN2Cl
1.0
3.656 0.000 0.000
0.000 3.656 0.000
0.000 0.000 5.461
Al S N Cl
1 1 2 1
Direct
0.000 0.000 0.000 Al
0.000 0.000 0.500 S
0.000 0.500 0.000 N
0.500 0.000 0.000 N
0.500 0.500 0.500 Cl
```

Results
calculated total energy	-39.913	eV for the cell shown
formation energy from raw total energies	4.027	eV per formula unit
Fermi-level density of states	1.5	states/eV/f.u.
excess energy over the best structure of this formula in the dataset	0	meV per atom
size of the total moment	3.23	μB per formula unit

No. 4
# AlS2NCl4

AlS2NCl4 at its PBEsol-relaxed geometry (SCAN, Alexandria).

Geometry as POSCAR:
```
AlS2NCl4
1.0
11.098 0.000 0.000
0.000 7.181 0.000
0.000 0.000 10.637
Al S N Cl
4 8 4 16
Direct
0.107 0.250 0.202 Al
0.393 0.750 0.702 Al
0.607 0.250 0.298 Al
0.893 0.750 0.798 Al
0.126 0.250 0.841 S
0.157 0.250 0.562 S
0.343 0.750 0.062 S
0.374 0.750 0.341 S
0.626 0.250 0.659 S
0.657 0.250 0.938 S
0.843 0.750 0.438 S
0.874 0.750 0.159 S
0.144 0.250 0.702 N
0.356 0.750 0.202 N
0.644 0.250 0.798 N
0.856 0.750 0.298 N
0.046 0.750 0.922 Cl
0.108 0.010 0.322 Cl
0.108 0.490 0.322 Cl
0.233 0.750 0.587 Cl
0.267 0.250 0.087 Cl
0.392 0.510 0.822 Cl
0.392 0.990 0.822 Cl
0.454 0.250 0.422 Cl
0.546 0.750 0.578 Cl
0.608 0.010 0.178 Cl
0.608 0.490 0.178 Cl
0.733 0.750 0.913 Cl
0.767 0.250 0.413 Cl
0.892 0.510 0.678 Cl
0.892 0.990 0.678 Cl
0.954 0.250 0.078 Cl
```

Results
calculated total energy	-298.582	eV for the cell shown
formation energy from raw total energies	-6.435	eV per formula unit
Fermi-level density of states	0.0	states/eV/f.u.
size of the total moment	0.00	μB per formula unit

No. 5
# AlSN2Cl

AlSN2Cl at its PBEsol-relaxed geometry (SCAN, Alexandria).

Geometry as POSCAR:
```
AlSN2Cl
1.0
3.502 0.000 0.000
0.000 3.502 0.000
0.000 0.000 6.189
Al S N Cl
1 1 2 1
Direct
0.000 0.000 0.000 Al
0.500 0.500 0.000 S
0.000 0.500 0.500 N
0.500 0.000 0.500 N
0.500 0.500 0.500 Cl
```

Results
calculated total energy	-34.451	eV for the cell shown
formation energy from raw total energies	9.490	eV per formula unit
Fermi-level density of states	2.1	states/eV/f.u.
excess energy over the best structure of this formula in the dataset	1093	meV per atom
size of the total moment	0.00	μB per formula unit

No. 6
# AlSe2NCl

AlSe2NCl at its PBEsol-relaxed geometry (SCAN, Alexandria).

Geometry as POSCAR:
```
AlSe2NCl
1.0
5.104 0.000 0.000
0.000 5.104 0.000
0.000 0.000 3.430
Al Se N Cl
1 2 1 1
Direct
0.000 0.000 0.000 Al
0.000 0.500 0.500 Se
0.500 0.000 0.500 Se
0.500 0.500 0.000 N
0.500 0.500 0.500 Cl
```

Results
calculated total energy	-57.872	eV for the cell shown
formation energy from raw total energies	7.306	eV per formula unit
Fermi-level density of states	3.5	states/eV/f.u.
size of the total moment	0.00	μB per formula unit

No. 7
# NaAl3Cl

NaAl3Cl at its PBEsol-relaxed geometry (SCAN, Alexandria).

Geometry as POSCAR:
```
NaAl3Cl
1.0
5.277 0.000 0.000
0.000 5.277 0.000
0.000 0.000 5.277
Na Al Cl
1 3 1
Direct
0.000 0.000 0.000 Na
0.000 0.000 0.500 Al
0.000 0.500 0.000 Al
0.500 0.000 0.000 Al
0.500 0.500 0.500 Cl
```

Results
calculated total energy	-30.742	eV for the cell shown
formation energy from raw total energies	4.707	eV per formula unit
Fermi-level density of states	2.3	states/eV/f.u.
size of the total moment	0.00	μB per formula unit

No. 8
# NaAlCl4

NaAlCl4 at its PBEsol-relaxed geometry (SCAN, Alexandria).

Geometry as POSCAR:
```
NaAlCl4
1.0
6.130 0.000 0.000
0.000 9.714 0.000
0.000 0.000 10.262
Na Al Cl
4 4 16
Direct
0.066 0.032 0.129 Na
0.434 0.968 0.629 Na
0.566 0.468 0.871 Na
0.934 0.532 0.371 Na
0.039 0.739 0.786 Al
0.461 0.261 0.286 Al
0.539 0.761 0.214 Al
0.961 0.239 0.714 Al
0.138 0.563 0.899 Cl
0.173 0.730 0.592 Cl
0.176 0.922 0.872 Cl
0.188 0.755 0.216 Cl
0.312 0.245 0.716 Cl
0.324 0.078 0.372 Cl
0.327 0.270 0.092 Cl
0.362 0.437 0.399 Cl
0.638 0.937 0.101 Cl
0.673 0.770 0.408 Cl
0.676 0.578 0.128 Cl
0.688 0.745 0.784 Cl
0.812 0.255 0.284 Cl
0.824 0.422 0.628 Cl
0.827 0.230 0.908 Cl
0.862 0.063 0.601 Cl
```

Results
calculated total energy	-220.139	eV for the cell shown
formation energy from raw total energies	-11.156	eV per formula unit
Fermi-level density of states	0.0	states/eV/f.u.
size of the total moment	0.00	μB per formula unit

No. 9
# NaAlCl3

NaAlCl3 at its PBEsol-relaxed geometry (SCAN, Alexandria).

Geometry as POSCAR:
```
NaAlCl3
1.0
4.944 0.000 0.000
0.000 4.944 0.000
0.000 0.000 4.944
Na Al Cl
1 1 3
Direct
0.000 0.000 0.000 Na
0.500 0.500 0.500 Al
0.000 0.500 0.500 Cl
0.500 0.000 0.500 Cl
0.500 0.500 0.000 Cl
```

Results
calculated total energy	-42.541	eV for the cell shown
formation energy from raw total energies	-6.641	eV per formula unit
Fermi-level density of states	0.8	states/eV/f.u.
size of the total moment	0.00	μB per formula unit

No. 10
# Na4Al3Si3ClO12

Na4Al3Si3ClO12 at its PBEsol-relaxed geometry (SCAN, Alexandria).

Geometry as POSCAR:
```
Na4Al3Si3ClO12
1.0
6.272 -4.463 0.000
6.272 4.463 0.000
-6.213 0.000 6.290
Na Al Si Cl O
4 3 3 1 12
Direct
0.174 0.174 0.498 Na
0.177 0.467 0.151 Na
0.533 0.823 0.849 Na
0.826 0.826 0.502 Na
0.428 0.572 0.000 Al
0.429 0.072 0.242 Al
0.928 0.571 0.758 Al
0.666 0.314 0.742 Si
0.686 0.334 0.258 Si
0.924 0.076 0.000 Si
0.177 0.823 0.500 Cl
0.165 0.125 0.197 O
0.179 0.531 0.932 O
0.468 0.377 0.781 O
0.469 0.821 0.068 O
0.481 0.256 0.214 O
0.598 0.114 0.503 O
0.623 0.532 0.219 O
0.744 0.519 0.786 O
0.765 0.128 0.091 O
0.872 0.235 0.909 O
0.875 0.835 0.803 O
0.886 0.402 0.497 O
```

Results
calculated total energy	-220.047	eV for the cell shown
formation energy from raw total energies	-67.132	eV per formula unit
Fermi-level density of states	0.0	states/eV/f.u.
size of the total moment	0.08	μB per formula unit

No. 11
# Na4Al3Si9ClO24

Na4Al3Si9ClO24 at its PBEsol-relaxed geometry (SCAN, Alexandria).

Geometry as POSCAR:
```
Na4Al3Si9ClO24
1.0
7.606 0.000 0.000
3.715 8.515 0.000
3.737 0.046 8.528
Na Al Si Cl O
4 3 9 1 24
Direct
0.000 0.000 0.000 Na
0.099 0.245 0.583 Na
0.356 0.573 0.729 Na
0.472 0.837 0.349 Na
0.092 0.334 0.911 Al
0.508 0.163 0.239 Al
0.781 0.478 0.404 Al
0.107 0.151 0.236 Si
0.350 0.658 0.087 Si
0.351 0.487 0.412 Si
0.557 0.162 0.733 Si
0.646 0.836 0.915 Si
0.676 0.337 0.913 Si
0.814 0.979 0.411 Si
0.889 0.653 0.594 Si
0.948 0.658 0.079 Si
0.231 0.907 0.673 Cl
0.028 0.002 0.296 O
0.076 0.517 0.953 O
0.087 0.201 0.066 O
0.117 0.727 0.083 O
0.135 0.558 0.564 O
0.322 0.259 0.749 O
0.342 0.082 0.231 O
0.346 0.610 0.263 O
0.369 0.320 0.370 O
0.441 0.798 0.028 O
0.490 0.511 0.965 O
0.527 0.489 0.465 O
0.577 0.016 0.857 O
0.645 0.281 0.770 O
0.660 0.214 0.057 O
0.671 0.005 0.313 O
0.701 0.099 0.557 O
0.775 0.714 0.773 O
0.790 0.541 0.566 O
0.792 0.812 0.015 O
0.811 0.614 0.249 O
0.873 0.800 0.474 O
0.902 0.347 0.844 O
0.970 0.292 0.362 O
```

Results
calculated total energy	-410.156	eV for the cell shown
formation energy from raw total energies	-122.371	eV per formula unit
Fermi-level density of states	0.0	states/eV/f.u.
size of the total moment	0.07	μB per formula unit

No. 12
# Rb2NaAlCl6

Rb2NaAlCl6 at its PBEsol-relaxed geometry (SCAN, Alexandria).

Geometry as POSCAR:
```
Rb2NaAlCl6
1.0
0.000 5.030 5.030
5.030 0.000 5.030
5.030 5.030 0.000
Rb Na Al Cl
2 1 1 6
Direct
0.250 0.250 0.250 Rb
0.750 0.750 0.750 Rb
0.000 0.000 0.000 Na
0.500 0.500 0.500 Al
0.269 0.269 0.731 Cl
0.269 0.731 0.269 Cl
0.269 0.731 0.731 Cl
0.731 0.269 0.269 Cl
0.731 0.269 0.731 Cl
0.731 0.731 0.269 Cl
```

Results
calculated total energy	-121.526	eV for the cell shown
formation energy from raw total energies	-20.213	eV per formula unit
Fermi-level density of states	0.0	states/eV/f.u.
size of the total moment	0.00	μB per formula unit

No. 13
# NbAlCl2

NbAlCl2 at its PBEsol-relaxed geometry (SCAN, Alexandria).

Geometry as POSCAR:
```
NbAlCl2
1.0
1.545 0.892 9.270
-1.545 0.892 9.270
0.000 -1.784 9.270
Nb Al Cl
1 1 2
Direct
0.000 0.000 0.000 Nb
0.500 0.500 0.500 Al
0.085 0.085 0.085 Cl
0.915 0.915 0.915 Cl
```

Results
calculated total energy	-57.650	eV for the cell shown
formation energy from raw total energies	-0.813	eV per formula unit
Fermi-level density of states	2.5	states/eV/f.u.
size of the total moment	0.00	μB per formula unit

No. 14
# NbAlP2Cl

NbAlP2Cl at its PBEsol-relaxed geometry (SCAN, Alexandria).

Geometry as POSCAR:
```
NbAlP2Cl
1.0
4.580 0.000 0.000
0.000 4.580 0.000
0.000 0.000 4.475
Nb Al P Cl
1 1 2 1
Direct
0.000 0.000 0.000 Nb
0.500 0.500 0.500 Al
0.000 0.500 0.500 P
0.500 0.000 0.500 P
0.500 0.500 0.000 Cl
```

Results
calculated total energy	-67.489	eV for the cell shown
formation energy from raw total energies	2.168	eV per formula unit
Fermi-level density of states	2.7	states/eV/f.u.
size of the total moment	1.98	μB per formula unit

No. 15
# NbAlRh2Cl

NbAlRh2Cl at its PBEsol-relaxed geometry (SCAN, Alexandria).

Geometry as POSCAR:
```
NbAlRh2Cl
1.0
4.614 0.000 0.000
0.000 4.614 0.000
0.000 0.000 5.321
Nb Al Rh Cl
1 1 2 1
Direct
0.000 0.000 0.000 Nb
0.000 0.000 0.500 Al
0.000 0.500 0.000 Rh
0.500 0.000 0.000 Rh
0.500 0.500 0.500 Cl
```

Results
calculated total energy	-111.368	eV for the cell shown
formation energy from raw total energies	5.034	eV per formula unit
Fermi-level density of states	3.8	states/eV/f.u.
size of the total moment	0.00	μB per formula unit

No. 16
# NbAlSCl2

NbAlSCl2 at its PBEsol-relaxed geometry (SCAN, Alexandria).

Geometry as POSCAR:
```
NbAlSCl2
1.0
4.888 0.000 0.000
0.000 4.888 0.000
0.000 0.000 4.759
Nb Al S Cl
1 1 1 2
Direct
0.000 0.000 0.000 Nb
0.500 0.500 0.500 Al
0.000 0.000 0.500 S
0.000 0.500 0.000 Cl
0.500 0.000 0.000 Cl
```

Results
calculated total energy	-68.922	eV for the cell shown
formation energy from raw total energies	-2.457	eV per formula unit
Fermi-level density of states	2.3	states/eV/f.u.
size of the total moment	0.00	μB per formula unit

No. 17
# NbAlTlCl2

NbAlTlCl2 at its PBEsol-relaxed geometry (SCAN, Alexandria).

Geometry as POSCAR:
```
NbAlTlCl2
1.0
4.486 0.000 0.000
0.000 4.486 0.000
0.000 0.000 5.957
Nb Al Tl Cl
1 1 1 2
Direct
0.000 0.000 0.000 Nb
0.500 0.500 0.500 Al
0.500 0.500 0.000 Tl
0.000 0.500 0.500 Cl
0.500 0.000 0.500 Cl
```

Results
calculated total energy	-127.624	eV for the cell shown
formation energy from raw total energies	1.572	eV per formula unit
Fermi-level density of states	3.0	states/eV/f.u.
size of the total moment	2.33	μB per formula unit

No. 18
# NbAlZn2Cl

NbAlZn2Cl at its PBEsol-relaxed geometry (SCAN, Alexandria).

Geometry as POSCAR:
```
NbAlZn2Cl
1.0
4.539 0.000 0.000
0.000 4.539 0.000
0.000 0.000 4.576
Nb Al Zn Cl
1 1 2 1
Direct
0.000 0.000 0.000 Nb
0.500 0.500 0.000 Al
0.000 0.500 0.500 Zn
0.500 0.000 0.500 Zn
0.500 0.500 0.500 Cl
```

Results
calculated total energy	-71.241	eV for the cell shown
formation energy from raw total energies	4.649	eV per formula unit
Fermi-level density of states	2.0	states/eV/f.u.
size of the total moment	1.12	μB per formula unit

No. 19
# Al2NiCl8

Al2NiCl8 at its PBEsol-relaxed geometry (SCAN, Alexandria).

Geometry as POSCAR:
```
Al2NiCl8
1.0
8.490 -3.921 0.000
8.490 3.921 0.000
-7.372 0.000 8.673
Al Ni Cl
4 2 16
Direct
0.161 0.677 0.970 Al
0.323 0.839 0.530 Al
0.677 0.161 0.470 Al
0.839 0.323 0.030 Al
0.006 0.994 0.250 Ni
0.994 0.006 0.750 Ni
0.131 0.164 0.012 Cl
0.139 0.698 0.779 Cl
0.145 0.710 0.306 Cl
0.164 0.131 0.512 Cl
0.290 0.855 0.194 Cl
0.302 0.861 0.721 Cl
0.317 0.374 0.942 Cl
0.374 0.317 0.442 Cl
0.626 0.683 0.558 Cl
0.683 0.626 0.058 Cl
0.698 0.139 0.279 Cl
0.710 0.145 0.806 Cl
0.836 0.869 0.488 Cl
0.855 0.290 0.694 Cl
0.861 0.302 0.221 Cl
0.869 0.836 0.988 Cl
```

Results
calculated total energy	-224.291	eV for the cell shown
formation energy from raw total energies	-16.645	eV per formula unit
Fermi-level density of states	0.0	states/eV/f.u.
size of the total moment	2.00	μB per formula unit

No. 20
# AlNi2Cl

AlNi2Cl at its PBEsol-relaxed geometry (SCAN, Alexandria).

Geometry as POSCAR:
```
AlNi2Cl
1.0
0.000 2.950 2.950
2.950 0.000 2.950
2.950 2.950 0.000
Al Ni Cl
1 2 1
Direct
0.000 0.000 0.000 Al
0.250 0.250 0.250 Ni
0.750 0.750 0.750 Ni
0.500 0.500 0.500 Cl
```

Results
calculated total energy	-46.892	eV for the cell shown
formation energy from raw total energies	1.184	eV per formula unit
Fermi-level density of states	0.1	states/eV/f.u.
excess energy over the best structure of this formula in the dataset	0	meV per atom
size of the total moment	0.00	μB per formula unit